1.
Here is MgSnIr2 after structural relaxation from Alexandria via LeMat-Bulk. Energies are from PBE-GGA.

abc: 4.3221 4.3221 3.4698
angles: 90.00 90.00 90.00
Last column: nearest neighbours and their distance in Å.
Fractional coordinates of all 4 atoms:
Mg: 0.0000 0.0000 0.0000  8 Ir 2.77, 4 Sn 3.06
Sn: 0.5000 0.5000 0.0000  8 Ir 2.77, 4 Mg 3.06
Ir: 0.0000 0.5000 0.5000  4 Sn 2.77, 4 Mg 2.77, 4 Ir 3.06
Ir: 0.5000 0.0000 0.5000  4 Sn 2.77, 4 Mg 2.77, 4 Ir 3.06

Properties
The value obtained for the volume is 16.20 A^3/atom. The calculation puts the energy relative to the elements at -0.328 eV/atom. The value obtained for the density is 13.5 g/cm³. The total magnetic moment is 0.0 μB/f.u. The calculation puts the distance to the lowest polymorph of the same formula at 3 meV per atom.

=====

2.
Here is BaAsS4 after structural relaxation from Alexandria via LeMat-Bulk. Energies are from PBE-GGA.

abc: 5.8050 7.3716 8.4419
angles: 75.19 86.33 84.92
Last column: nearest neighbours and their distance in Å.
Fractional coordinates of all 12 atoms:
Ba: 0.2403 0.1710 0.2517  8 S 3.22-3.54
Ba: 0.7597 0.8290 0.7483  8 S 3.22-3.54
As: 0.2445 0.6063 0.4447  3 S 2.22-2.38
As: 0.7555 0.3937 0.5553  3 S 2.22-2.38
S: 0.1375 0.3159 0.6204  2 As 2.31-2.38
S: 0.1442 0.6225 0.0228  1 S 2.01
S: 0.2761 0.8196 0.5845  1 As 2.22
S: 0.3434 0.8215 0.0488  1 S 2.01
S: 0.6566 0.1785 0.9512  1 S 2.01
S: 0.7239 0.1804 0.4155  1 As 2.22
S: 0.8558 0.3775 0.9772  1 S 2.01
S: 0.8625 0.6841 0.3796  2 As 2.31-2.38

Properties
The value obtained for the volume is 28.96 A^3/atom. The calculation puts the uncorrected formation energy at -621 meV/atom. The value obtained for the density is 3.3 g/cm³. The total magnetic moment is 0.9 μB/f.u.

=====

3.
Here is LaCu2Ir after structural relaxation from Alexandria via LeMat-Bulk. Energies are from PBE-GGA.

abc: 4.7134 4.7134 4.7134
angles: 60.00 60.00 60.00
Last column: nearest neighbours and their distance in Å.
Fractional coordinates of all 4 atoms:
La: 0.0000 0.0000 0.0000  4 Ir 2.89, 4 Cu 2.89
Cu: 0.2500 0.2500 0.2500  4 Cu 2.89, 4 La 2.89
Cu: 0.5000 0.5000 0.5000  4 Ir 2.89, 4 Cu 2.89
Ir: 0.7500 0.7500 0.7500  4 La 2.89, 4 Cu 2.89

Properties
The value obtained for the volume is 18.51 A^3/atom. The calculation puts the energy relative to the elements at 0.020 eV/atom. The value obtained for the density is 10.3 g/cm³. The total magnetic moment is 0.0 μB/f.u. The calculation puts the distance to the lowest polymorph of the same formula at 296 meV per atom.

=====

4.
Here is NiAuS2 after structural relaxation from Alexandria via LeMat-Bulk. Energies are from PBE-GGA.

abc: 6.2741 7.4714 6.4999
angles: 90.00 90.00 90.00
Last column: nearest neighbours and their distance in Å.
Fractional coordinates of all 16 atoms:
Ni: 0.0738 0.1222 0.0000  4 S 2.17-2.19
Ni: 0.4262 0.6222 0.5000  4 S 2.17-2.19
Ni: 0.5738 0.3778 0.0000  4 S 2.17-2.19
Ni: 0.9262 0.8778 0.5000  4 S 2.17-2.19
Au: 0.0937 0.6347 0.9854  4 S 2.44-2.52
Au: 0.4063 0.1347 0.4854  4 S 2.44-2.52
Au: 0.5937 0.8653 0.9854  4 S 2.44-2.52
Au: 0.9063 0.3653 0.4854  4 S 2.44-2.52
S: 0.0614 0.1032 0.6672  2 Ni 2.17-2.18
S: 0.0972 0.6421 0.6099  2 Ni 2.18-2.19, 1 Au 2.44
S: 0.4028 0.1421 0.1099  2 Ni 2.18-2.19, 1 Au 2.44
S: 0.4386 0.6032 0.1672  2 Ni 2.17-2.18
S: 0.5614 0.3968 0.6672  2 Ni 2.17-2.18
S: 0.5972 0.8579 0.6099  2 Ni 2.18-2.19, 1 Au 2.44
S: 0.9028 0.3579 0.1099  2 Ni 2.18-2.19, 1 Au 2.44
S: 0.9386 0.8968 0.1672  2 Ni 2.17-2.18

Properties
The value obtained for the volume is 19.04 A^3/atom. The calculation puts the uncorrected formation energy at -52 meV/atom. The value obtained for the density is 7.0 g/cm³. The total magnetic moment is 0.0 μB/f.u.

=====

5.
Here is Tb6Bi2Te3Pb after structural relaxation from Alexandria via LeMat-Bulk. Energies are from PBE-GGA.

abc: 9.9139 9.9139 8.8548
angles: 102.57 102.57 25.93
Last column: nearest neighbours and their distance in Å.
Fractional coordinates of all 12 atoms:
Tb: 0.0000 0.0000 0.2422  2 Pb 3.09, 1 Bi 3.15, 3 Te 3.17-3.19
Tb: 0.0000 0.0000 0.7578  2 Pb 3.09, 1 Bi 3.15, 3 Te 3.17-3.19
Tb: 0.3333 0.3333 0.4180  3 Bi 3.13, 3 Te 3.14
Tb: 0.3370 0.3370 0.9173  1 Pb 3.07, 2 Bi 3.14, 3 Te 3.15-3.18
Tb: 0.6630 0.6630 0.0827  1 Pb 3.07, 2 Bi 3.14, 3 Te 3.15-3.18
Tb: 0.6667 0.6667 0.5820  3 Bi 3.13, 3 Te 3.14
Bi: 0.1669 0.1669 0.3340  6 Tb 3.13-3.15
Bi: 0.8331 0.8331 0.6660  6 Tb 3.13-3.15
Te: 0.1682 0.1682 0.8336  6 Tb 3.14-3.18
Te: 0.5000 0.5000 0.5000  6 Tb 3.14-3.19
Te: 0.8318 0.8318 0.1664  6 Tb 3.14-3.18
Pb: 0.5000 0.5000 0.0000  6 Tb 3.07-3.09

Properties
The value obtained for the volume is 30.91 A^3/atom. The calculation puts the uncorrected formation energy at -1069 meV/atom. The value obtained for the density is 8.8 g/cm³. The total magnetic moment is 0.0 μB/f.u.

=====

6.
Here is NaTb2Sn3Te6 after structural relaxation from Alexandria via LeMat-Bulk. Energies are from PBE-GGA.

abc: 10.1229 10.1229 9.1795
angles: 104.30 104.30 25.22
Last column: nearest neighbours and their distance in Å.
Fractional coordinates of all 12 atoms:
Na: 0.0000 0.0000 0.0000  6 Te 3.20-3.35
Tb: 0.3316 0.3316 0.6541  6 Te 3.08-3.15
Tb: 0.6684 0.6684 0.3459  6 Te 3.08-3.15
Sn: 0.0000 0.0000 0.5000  6 Te 3.17-3.22
Sn: 0.3428 0.3428 0.1512  6 Te 3.15-3.31
Sn: 0.6572 0.6572 0.8488  6 Te 3.15-3.31
Te: 0.1686 0.1686 0.5878  3 Tb 3.12-3.13, 3 Sn 3.22-3.31
Te: 0.1751 0.1751 0.1055  2 Tb 3.15, 3 Sn 3.18-3.23, 1 Na 3.35
Te: 0.4928 0.4928 0.7437  1 Tb 3.08, 3 Sn 3.15-3.17, 2 Na 3.20
Te: 0.5072 0.5072 0.2563  1 Tb 3.08, 3 Sn 3.15-3.17, 2 Na 3.20
Te: 0.8249 0.8249 0.8945  2 Tb 3.15, 3 Sn 3.18-3.23, 1 Na 3.35
Te: 0.8314 0.8314 0.4122  3 Tb 3.12-3.13, 3 Sn 3.22-3.31

Properties
The value obtained for the volume is 32.31 A^3/atom. The calculation puts the uncorrected formation energy at -733 meV/atom. The value obtained for the density is 6.3 g/cm³. The total magnetic moment is 0.0 μB/f.u.